Record 1
The following is a DFT calculation (PBE-GGA) of a relaxed PrGd2Tl2Zn3Cd crystal.

POSCAR file:
```
PrGd2Tl2Zn3Cd
1.0
-3.2803 2.0687 2.4752
-4.6644 -5.5124 -1.5743
4.3260 -0.3012 5.9847
Tl Pr Zn Cd Gd
2 1 3 1 2
Cartesian
-3.3380 -2.7716 2.1685 Tl
-0.2822 -1.0003 4.7377 Tl
-0.1438 -2.4704 1.8741 Pr
-2.7081 -0.2278 0.8772 Zn
-1.9003 -3.4357 4.6288 Zn
-0.6496 0.9654 2.6079 Zn
-0.3357 -5.7669 4.3750 Cd
-2.6843 -3.1863 -0.8942 Gd
2.4878 -0.1884 3.4544 Gd
```

Calculated values
The calculation puts the calculated density at 9019 kg/m3. As for the space-group type: Amm2, No. 38. For the total energy, the calculation gives -2.918 eV per atom.

Record 2
The following is a DFT calculation (PBE-GGA) of a relaxed Pr2GdZn5Cd crystal.

POSCAR file:
```
Pr2GdZn5Cd
1.0
-4.4787 -0.2648 -0.5127
-0.3882 -4.3610 5.6444
-0.5123 7.0778 0.8190
Zn Gd Pr Cd
5 1 2 1
Cartesian
-2.6657 -0.6456 3.7338 Zn
-2.9223 1.9280 4.6455 Zn
-2.3343 -1.1730 1.1109 Zn
-2.3641 1.5711 -0.0467 Zn
-2.7061 3.0753 2.1641 Zn
-0.3951 1.1921 2.8361 Gd
-0.7300 4.5980 4.0024 Pr
-0.6763 -0.3550 6.0918 Pr
-0.0048 0.0144 0.0342 Cd
```

Calculated values
The value obtained for the energy of formation from the pure elements is -2.8 eV per formula unit. The calculation puts the calculated density at 7362 kg/m3. As for the space-group type: Amm2, No. 38. For the total energy, the calculation gives -2.690 eV per atom.